Entry 1:
A plane-wave DFT calculation with GGA-PBE was carried out for NbGaSb3 after structural relaxation.

## Properties
* raw formation energy: 1.116 eV per atom

Cell lengths 5.1614, 5.1614, 5.1614 Å; angles 90.00, 90.00, 90.00 degrees
Space group Pm-3m (No. 221)
Inequivalent atoms, fractional coordinates:
Nb 0.0000 0.0000 0.0000 x1
Ga 0.5000 0.5000 0.5000 x1
Sb 0.0000 0.5000 0.5000 x3

---

Entry 2:
A plane-wave DFT calculation with GGA-PBE was carried out for Nb3GaSb after structural relaxation.

## Properties
* raw formation energy: 1.453 eV per atom

Cell lengths 5.0366, 5.0366, 5.0366 Å; angles 90.00, 90.00, 90.00 degrees
Space group Pm-3m (No. 221)
Inequivalent atoms, fractional coordinates:
Nb 0.0000 0.0000 0.5000 x3
Ga 0.5000 0.5000 0.5000 x1
Sb 0.0000 0.0000 0.0000 x1

---

Entry 3:
A plane-wave DFT calculation with GGA-PBE was carried out for Nb3GaSb after structural relaxation.

## Properties
* raw formation energy: 0.858 eV per atom

Cell lengths 4.7697, 4.7697, 4.7697 Å; angles 90.00, 90.00, 90.00 degrees
Space group Pm-3m (No. 221)
Inequivalent atoms, fractional coordinates:
Nb 0.0000 0.0000 0.5000 x3
Ga 0.0000 0.0000 0.0000 x1
Sb 0.5000 0.5000 0.5000 x1

---

Entry 4:
A plane-wave DFT calculation with GGA-PBE was carried out for Nb3GaSb after structural relaxation.

## Properties
* raw formation energy: -0.118 eV per atom

Cell lengths 3.4884, 7.2747, 7.7152 Å; angles 84.96, 89.95, 76.48 degrees
Space group P-1 (No. 2)
Inequivalent atoms, fractional coordinates:
Nb 0.0274 0.4423 0.2214 x2
Nb 0.2273 0.0352 0.7990 x2
Nb 0.4023 0.6713 0.4173 x2
Ga 0.2004 0.1095 0.4206 x2
Sb 0.3930 0.7184 0.0369 x2

---

Entry 5:
A plane-wave DFT calculation with GGA-PBE was carried out for NbGa3Sb after structural relaxation.

## Properties
* raw formation energy: 0.593 eV per atom

Cell lengths 5.0678, 5.0678, 5.0678 Å; angles 90.00, 90.00, 90.00 degrees
Space group Pm-3m (No. 221)
Inequivalent atoms, fractional coordinates:
Nb 0.0000 0.0000 0.0000 x1
Ga 0.0000 0.0000 0.5000 x3
Sb 0.5000 0.5000 0.5000 x1

---

Entry 6:
A plane-wave DFT calculation with GGA-PBE was carried out for NbGaSb3 after structural relaxation.

## Properties
* raw formation energy: 0.348 eV per atom

Cell lengths 5.3901, 5.3901, 5.3901 Å; angles 90.00, 90.00, 90.00 degrees
Space group Pm-3m (No. 221)
Inequivalent atoms, fractional coordinates:
Nb 0.0000 0.0000 0.0000 x1
Ga 0.5000 0.5000 0.5000 x1
Sb 0.0000 0.0000 0.5000 x3

---

Entry 7:
A plane-wave DFT calculation with GGA-PBE was carried out for TaNbGa2Sb after structural relaxation.

## Properties
* raw formation energy: 1.629 eV per atom

Cell lengths 4.9966, 4.9966, 5.2243 Å; angles 90.00, 90.00, 90.00 degrees
Space group P4/mmm (No. 123)
Inequivalent atoms, fractional coordinates:
Ta 0.0000 0.0000 0.0000 x1
Nb 0.5000 0.5000 0.0000 x1
Ga 0.0000 0.5000 0.5000 x2
Sb 0.0000 0.0000 0.5000 x1

---

Entry 8:
A plane-wave DFT calculation with GGA-PBE was carried out for NbGaTcSb2 after structural relaxation.

## Properties
* raw formation energy: 0.744 eV per atom

Cell lengths 5.0822, 5.0822, 4.9543 Å; angles 90.00, 90.00, 90.00 degrees
Space group P4/mmm (No. 123)
Inequivalent atoms, fractional coordinates:
Nb 0.0000 0.0000 0.0000 x1
Ga 0.5000 0.5000 0.0000 x1
Tc 0.0000 0.0000 0.5000 x1
Sb 0.0000 0.5000 0.5000 x2

---

Entry 9:
A plane-wave DFT calculation with GGA-PBE was carried out for NbGaSbTe2 after structural relaxation.

## Properties
* raw formation energy: 0.995 eV per atom

Cell lengths 5.2824, 5.2824, 5.0938 Å; angles 90.00, 90.00, 90.00 degrees
Space group P4/mmm (No. 123)
Inequivalent atoms, fractional coordinates:
Nb 0.0000 0.0000 0.0000 x1
Ga 0.5000 0.5000 0.5000 x1
Sb 0.5000 0.5000 0.0000 x1
Te 0.0000 0.5000 0.5000 x2

---

Entry 10:
A plane-wave DFT calculation with GGA-PBE was carried out for NbGaSbTe2 after structural relaxation.

## Properties
* raw formation energy: 0.196 eV per atom

Cell lengths 5.4528, 5.4528, 5.4448 Å; angles 90.00, 90.00, 90.00 degrees
Space group P4/mmm (No. 123)
Inequivalent atoms, fractional coordinates:
Nb 0.0000 0.0000 0.0000 x1
Ga 0.5000 0.5000 0.5000 x1
Sb 0.0000 0.0000 0.5000 x1
Te 0.0000 0.5000 0.0000 x2

---

Entry 11:
A plane-wave DFT calculation with GGA-PBE was carried out for Sc2NbGa after structural relaxation.

Cell lengths 4.0064, 4.0064, 20.2168 Å; angles 90.00, 90.00, 90.00 degrees
Space group I-42d (No. 122)
Inequivalent atoms, fractional coordinates:
Sc 0.2505 0.2500 0.1250 x8
Nb 0.0000 0.0000 0.0000 x4
Ga 0.0000 0.0000 0.5000 x4

---

Entry 12:
A plane-wave DFT calculation with GGA-PBE was carried out for ScNbGa after structural relaxation.

Cell lengths 4.7167, 4.7167, 2.8447 Å; angles 90.00, 90.00, 120.00 degrees
Space group P3m1 (No. 156)
Inequivalent atoms, fractional coordinates:
Sc 0.0000 0.0000 0.0000 x1
Nb 0.6667 0.3333 0.0024 x1
Ga 0.3333 0.6667 0.4996 x1

---

Number 1: E_tot -19.88 eV for the cell shown, D(E_F) 8.0 states/eV/cell. Number 2: E_tot -30.09 eV for the cell shown, D(E_F) 14.5 states/eV/cell. Number 3: E_tot -33.07 eV for the cell shown, D(E_F) 8.0 states/eV/cell. Number 4: E_tot -75.90 eV for the cell shown, D(E_F) 7.7 states/eV/cell. Number 5: E_tot -20.31 eV for the cell shown, D(E_F) 3.0 states/eV/cell. Number 6: E_tot -23.72 eV for the cell shown, D(E_F) 3.4 states/eV/cell. Number 7: E_tot -23.96 eV for the cell shown, D(E_F) 6.5 states/eV/cell. Number 8: E_tot -27.99 eV for the cell shown, D(E_F) 5.4 states/eV/cell. Number 9: E_tot -18.53 eV for the cell shown, D(E_F) 7.1 states/eV/cell. Number 10: E_tot -22.52 eV for the cell shown, D(E_F) 2.5 states/eV/cell. Number 11: E_tot -99.77 eV for the cell shown, D(E_F) 15.7 states/eV/cell. Number 12: E_tot -19.40 eV for the cell shown, D(E_F) 3.2 states/eV/cell.